Here is a geometry-optimized Pm3Nd2Tl structure from Alexandria via LeMat-Bulk. Energies are from PBE-GGA.

Unit cell a=4.9973 b=4.9695 c=8.1986 alpha=107.64 beta=90.00 gamma=90.00
Last column: nearest neighbours and their distance in Å.
Sites, in units of the cell vectors:
Pm 0.5000 0.1643 0.3285  6 Nd 3.52-3.68, 4 Pm 3.57-3.65, 2 Tl 3.58
Pm 0.5000 0.5000 0.0000  4 Tl 3.52, 4 Nd 3.56, 4 Pm 3.57
Pm 0.5000 0.8357 0.6715  6 Nd 3.52-3.68, 4 Pm 3.57-3.65, 2 Tl 3.58
Nd 0.0000 0.6626 0.3253  8 Pm 3.52-3.68, 2 Tl 3.55, 2 Nd 3.69
Nd 0.0000 0.3374 0.6747  8 Pm 3.52-3.68, 2 Tl 3.55, 2 Nd 3.69
Tl 0.0000 0.0000 0.0000  8 Pm 3.52-3.58, 4 Nd 3.55

V, Å³ per atom: 32.3
Total moment, μB/cell: 0.0
Uncorrected energy, eV/atom: -4.47
Crystal system: orthorhombic